[1]
An optimized crystal structure of PrPaPbO6, computed with PBE.

Unit cell a=4.8794 b=5.7808 c=5.7808 alpha=120.00 beta=90.00 gamma=90.00
Last column: nearest neighbours and their distance in Å.
Sites, in units of the cell vectors:
O1 0.2509 0.0275 0.6884  1 Pa 2.21, 1 Pb 2.24, 1 Pr 2.40
O2 0.2509 0.3116 0.3390  1 Pa 2.21, 1 Pb 2.24, 1 Pr 2.40
O3 0.2509 0.6610 0.9725  1 Pa 2.21, 1 Pb 2.24, 1 Pr 2.40
O4 0.7491 0.6610 0.6884  1 Pa 2.21, 1 Pb 2.24, 1 Pr 2.40
O5 0.7491 0.3116 0.9725  1 Pa 2.21, 1 Pb 2.24, 1 Pr 2.40
O6 0.7491 0.0275 0.3390  1 Pa 2.21, 1 Pb 2.24, 1 Pr 2.40
Pa1 0.0000 0.3333 0.6667  6 O 2.21
Pb1 0.5000 0.0000 0.0000  6 O 2.24
Pr1 0.5000 0.6667 0.3333  6 O 2.40

Values from the calculation:
Space group: P312
Energy relative to the elements, uncorrected in eV/atom: -2.51
Energy in eV/atom: -7.8126



[2]
An optimized crystal structure of MgAsC2, computed with PBE.

Unit cell a=5.0229 b=5.0229 c=5.5849 alpha=63.28 beta=63.28 gamma=90.00
Last column: nearest neighbours and their distance in Å.
Sites, in units of the cell vectors:
C1 0.0782 0.6250 0.2500  2 As 1.94
C2 0.6718 0.1250 0.2500  2 As 1.94
C3 0.8750 0.9218 0.7500  2 As 1.94
C4 0.3750 0.3282 0.7500  2 As 1.94
Mg1 0.2500 0.7500 0.5000  4 C 2.23
Mg2 0.5000 0.5000 0.0000  4 C 2.23
As1 0.0000 0.0000 0.0000  4 C 1.94
As2 0.7500 0.2500 0.5000  4 C 1.94

Values from the calculation:
Space group: I-42d
E_form in eV/atom: 0.918
Energy in eV/atom: -5.2551
N(E_F) in states/eV/cell: 0.628



[3]
An optimized crystal structure of HoU3P4, computed with PBE.

Unit cell a=3.9239 b=6.8505 c=6.8505 alpha=109.15 beta=90.00 gamma=90.00
Last column: nearest neighbours and their distance in Å.
Sites, in units of the cell vectors:
U1 0.0000 0.0000 0.5000  6 P 2.79
U2 0.5000 0.5000 0.5000  6 P 2.78-2.79
U3 0.0000 0.5000 0.0000  6 P 2.79
P1 0.5000 0.7496 0.2504  5 U 2.79, 1 Ho 2.80
P2 0.5000 0.2504 0.7496  5 U 2.79, 1 Ho 2.80
P3 0.0000 0.7478 0.7478  4 U 2.78-2.79, 2 Ho 2.80
P4 0.0000 0.2522 0.2522  4 U 2.78-2.79, 2 Ho 2.80
Ho1 0.5000 0.0000 0.0000  6 P 2.80

Values from the calculation:
Space group: Cmmm
E_form in eV/atom: -1.126
Energy in eV/atom: -8.6364
N(E_F) in states/eV/cell: 15.814



[4]
An optimized crystal structure of GdDyAlOs, computed with PBE.

Unit cell a=4.9617 b=4.9617 c=4.9617 alpha=60.00 beta=60.00 gamma=60.00
Last column: nearest neighbours and their distance in Å.
Sites, in units of the cell vectors:
Dy1 0.5000 0.5000 0.5000  4 Al 3.04, 4 Os 3.04
Al1 0.7500 0.7500 0.7500  4 Dy 3.04, 4 Gd 3.04
Gd1 0.0000 0.0000 0.0000  4 Os 3.04, 4 Al 3.04
Os1 0.2500 0.2500 0.2500  4 Gd 3.04, 4 Dy 3.04

Values from the calculation:
Space group: F-43m
E_form in eV/atom: -0.242
Energy in eV/atom: -8.6558
N(E_F) in states/eV/cell: 1.739



[5]
An optimized crystal structure of Y2Co2Si, computed with PBE.

Unit cell a=6.4910 b=6.4910 c=4.2409 alpha=90.00 beta=90.00 gamma=90.00
Last column: nearest neighbours and their distance in Å.
Sites, in units of the cell vectors:
Si1 0.0000 0.0000 0.0000  4 Co 2.57
Si2 0.5000 0.5000 0.0000  4 Co 2.57
Co1 0.8752 0.6248 0.0000  1 Co 2.29
Co2 0.6248 0.1248 0.0000  1 Co 2.29
Co3 0.1248 0.3752 0.0000  1 Co 2.29
Co4 0.3752 0.8752 0.0000  1 Co 2.29
Y1 0.1836 0.6836 0.5000  6 Co 2.75-2.94
Y2 0.6836 0.8164 0.5000  6 Co 2.75-2.94
Y3 0.8164 0.3164 0.5000  6 Co 2.75-2.94
Y4 0.3164 0.1836 0.5000  6 Co 2.75-2.94

Values from the calculation:
Space group: P4/mbm
Energy relative to the elements, uncorrected in eV/atom: -0.33
Energy in eV/atom: -6.8410
N(E_F) in states/eV/cell: 7.957



[6]
An optimized crystal structure of PHRuS, computed with PBE.

Unit cell a=5.3518 b=4.1627 c=6.0697 alpha=90.00 beta=90.14 gamma=90.00
Last column: nearest neighbours and their distance in Å.
Sites, in units of the cell vectors:
H1 0.0133 0.5000 0.2943  1 Ru 1.60
H2 0.0133 0.0000 0.7943  1 Ru 1.60
P1 0.2308 0.5000 0.6623  3 Ru 2.23-2.29, 1 S 2.30
P2 0.2308 0.0000 0.1623  3 Ru 2.23-2.29, 1 S 2.30
S1 0.5555 0.5000 0.9103  1 P 2.30, 2 Ru 2.54
S2 0.5555 0.0000 0.4103  1 P 2.30, 2 Ru 2.54
Ru1 0.3113 0.0000 0.8015  1 H 1.60
Ru2 0.3113 0.5000 0.3015  1 H 1.60

Values from the calculation:
Space group: Cm
Energy in eV/atom: -5.6077



[7]
An optimized crystal structure of Ag2AuI5, computed with PBE.

Unit cell a=7.5260 b=13.5448 c=13.9868 alpha=112.74 beta=90.00 gamma=90.00
Last column: nearest neighbours and their distance in Å.
Sites, in units of the cell vectors:
I1 0.8062 0.7472 0.4986  2 Ag 2.72-2.79
I2 0.3178 0.5270 0.3460  1 Au 2.70
I3 0.8237 0.3378 0.8580  1 Au 2.68, 1 Ag 2.81
I4 0.2210 0.8794 0.3974  1 Au 2.71, 1 Ag 2.99
I5 0.6701 0.9646 0.3199  1 Au 2.70, 1 Ag 2.89
I6 0.6938 0.7472 0.9986  2 Ag 2.72-2.79
I7 0.1822 0.5270 0.8460  1 Au 2.70
I8 0.1938 0.2528 0.5014  2 Ag 2.72-2.79
I9 0.6763 0.3378 0.3580  1 Au 2.68, 1 Ag 2.81
I10 0.6822 0.4730 0.6540  1 Au 2.70
I11 0.1701 0.0354 0.1801  1 Au 2.70, 1 Ag 2.89
I12 0.3062 0.2528 0.0014  2 Ag 2.72-2.79
I13 0.3237 0.6622 0.6420  1 Au 2.68, 1 Ag 2.81
I14 0.7210 0.1206 0.1026  1 Au 2.71, 1 Ag 2.99
I15 0.8299 0.9646 0.8199  1 Au 2.70, 1 Ag 2.89
I16 0.7790 0.1206 0.6026  1 Au 2.71, 1 Ag 2.99
I17 0.2790 0.8794 0.8974  1 Au 2.71, 1 Ag 2.99
I18 0.1763 0.6622 0.1420  1 Au 2.68, 1 Ag 2.81
I19 0.3299 0.0354 0.6801  1 Au 2.70, 1 Ag 2.89
I20 0.8178 0.4730 0.1540  1 Au 2.70
Ag1 0.9874 0.9364 0.6106  4 I 2.79-3.04
Ag2 0.5126 0.9364 0.1106  4 I 2.79-3.04
Ag3 0.0073 0.3341 0.6817  3 I 2.72-3.03
Ag4 0.0126 0.0636 0.3894  4 I 2.79-3.04
Ag5 0.4927 0.3341 0.1817  3 I 2.72-3.03
Ag6 0.9927 0.6659 0.3183  3 I 2.72-3.03
Ag7 0.5073 0.6659 0.8183  3 I 2.72-3.03
Ag8 0.4874 0.0636 0.8894  4 I 2.79-3.04
Au1 0.0000 0.0000 0.0000  4 I 2.70-2.71
Au2 0.0000 0.5000 0.0000  4 I 2.68-2.70
Au3 0.5000 0.0000 0.5000  4 I 2.70-2.71
Au4 0.5000 0.5000 0.5000  4 I 2.68-2.70

Values from the calculation:
Space group: P2_1/c
Energy relative to the elements, uncorrected in eV/atom: -0.12
Energy in eV/atom: -2.2086
N(E_F) in states/eV/cell: 1.431



[8]
An optimized crystal structure of Rb2Fe4Co, computed with PBE.

Unit cell a=4.5992 b=4.5992 c=9.9518 alpha=76.64 beta=76.64 gamma=90.00
Last column: nearest neighbours and their distance in Å.
Sites, in units of the cell vectors:
Co1 0.0000 0.0000 0.0000  6 Fe 2.13-2.30
Fe1 0.8865 0.8865 0.2270  1 Co 2.13
Fe2 0.5000 0.0000 0.0000  2 Co 2.30
Fe3 0.1135 0.1135 0.7730  1 Co 2.13
Fe4 0.0000 0.5000 0.0000  2 Co 2.30
Rb1 0.6625 0.6625 0.6750  4 Fe 3.38
Rb2 0.3375 0.3375 0.3250  4 Fe 3.38

Values from the calculation:
Space group: I4/mmm
E_form in eV/atom: 1.168
Energy in eV/atom: -4.9593
N(E_F) in states/eV/cell: 8.794



> Among the records above, which one has the highest energy?

Ag2AuI5



> Which of these has the highest energy?

Ag2AuI5



Repeat the eighth record exactly.
An optimized crystal structure of Rb2Fe4Co, computed with PBE.

Unit cell a=4.5992 b=4.5992 c=9.9518 alpha=76.64 beta=76.64 gamma=90.00
Last column: nearest neighbours and their distance in Å.
Sites, in units of the cell vectors:
Co1 0.0000 0.0000 0.0000  6 Fe 2.13-2.30
Fe1 0.8865 0.8865 0.2270  1 Co 2.13
Fe2 0.5000 0.0000 0.0000  2 Co 2.30
Fe3 0.1135 0.1135 0.7730  1 Co 2.13
Fe4 0.0000 0.5000 0.0000  2 Co 2.30
Rb1 0.6625 0.6625 0.6750  4 Fe 3.38
Rb2 0.3375 0.3375 0.3250  4 Fe 3.38

Values from the calculation:
Space group: I4/mmm
E_form in eV/atom: 1.168
Energy in eV/atom: -4.9593
N(E_F) in states/eV/cell: 8.794



> Number 3 is which compound?

HoU3P4